(1)
# GGA-PBE AcLa2CoAu, relaxed
# Formation energy from the elements in eV per atom: -0.2307
# Total energy in eV per atom: -5.100
# Volume in Å³ per cell: 160.4
data_AcLa2CoAu
_space_group_name_H-M_alt 'P 4 m m'
_space_group_IT_number 99
_space_group_name_Hall 'P 4 -2'
_cell_length_a 5.203
_cell_length_b 5.203
_cell_length_c 5.927
_cell_angle_alpha 90.00
_cell_angle_beta 90.00
_cell_angle_gamma 90.00
loop_
_atom_site_label
_atom_site_type_symbol
_atom_site_fract_x
_atom_site_fract_y
_atom_site_fract_z
Ac1 Ac 0.000 0.000 0.000
La1 La 0.000 0.500 0.472
Co1 Co 0.000 0.000 0.516
Au1 Au 0.500 0.500 0.129

---

(2)
# GGA-PBE AcNdCoAu, relaxed
# Formation energy from the elements in eV per atom: -0.2402
# Total energy in eV per atom: -5.055
# Volume in Å³ per cell: 407.4
data_AcNdCoAu
_space_group_name_H-M_alt 'F -4 3 m'
_space_group_IT_number 216
_space_group_name_Hall 'F -4 2 3'
_cell_length_a 7.413
_cell_length_b 7.413
_cell_length_c 7.413
_cell_angle_alpha 90.00
_cell_angle_beta 90.00
_cell_angle_gamma 90.00
loop_
_atom_site_label
_atom_site_type_symbol
_atom_site_fract_x
_atom_site_fract_y
_atom_site_fract_z
Ac1 Ac 0.000 0.000 0.000
Nd1 Nd 0.000 0.000 0.500
Co1 Co 0.250 0.250 0.250
Au1 Au 0.250 0.250 0.750

---

(3)
# GGA-PBE Ac6CoNi2Au, relaxed
# Formation energy from the elements in eV per atom: -0.2289
# Total energy in eV per atom: -4.889
# Volume in Å³ per cell: 1016.2
data_Ac6CoNi2Au
_space_group_name_H-M_alt 'R 3'
_space_group_IT_number 146
_space_group_name_Hall 'R 3'
_cell_length_a 7.5072
_cell_length_b 7.5072
_cell_length_c 20.8244
_cell_angle_alpha 90.00
_cell_angle_beta 90.00
_cell_angle_gamma 120.00
loop_
_atom_site_label
_atom_site_type_symbol
_atom_site_fract_x
_atom_site_fract_y
_atom_site_fract_z
Ac1 Ac 0.0000 0.3350 0.0000
Ac2 Ac 0.0381 0.6888 0.1595
Co1 Co 0.0000 0.0000 0.4067
Ni1 Ni 0.0000 0.0000 0.0804
Ni2 Ni 0.0000 0.0000 0.5856
Au1 Au 0.0000 0.0000 0.9051